Th8RePb2 | PBE | optimized geometry

Results
formation enthalpy at 0 K	0.00	eV/atom
uncorrected energy	-7.20	eV/atom
SG	C2/m (12)
DOS(E_F)	13.29	states/eV/f.u.

Cell: 9.7924 9.7924 6.8738 Å, 108.36 108.36 33.09°
Atoms (fractional coordinates):
Th  0.0006  0.0006  0.2339
Th  0.2216  0.2216  0.1164
Th  0.3582  0.3582  0.7022
Th  0.4097  0.4097  0.2591
Th  0.5903  0.5903  0.7409
Th  0.6418  0.6418  0.2978
Th  0.7784  0.7784  0.8836
Th  0.9994  0.9994  0.7661
Re  0.5000  0.5000  0.0000
Pb  0.1703  0.1703  0.6031
Pb  0.8297  0.8297  0.3969